# TeW2Br GGA-PBE relaxed
# crystal system: orthorhombic
# raw total energy: -7.0922 eV per atom
# total moment: 0.00 μB/cell
data_TeW2Br
_chemical_formula_sum 'Te2 W4 Br2'
_space_group_name_H-M_alt 'I m m 2'
_space_group_IT_number 44
_cell_length_a 3.189
_cell_length_b 3.233
_cell_length_c 18.892
_cell_angle_alpha 90.00
_cell_angle_beta 90.00
_cell_angle_gamma 90.00
loop_
_space_group_symop_operation_xyz
'x,y,z'
'-x,-y,z'
'-x,y,z'
'x,-y,z'
'x+1/2,y+1/2,z+1/2'
'-x+1/2,-y+1/2,z+1/2'
'-x+1/2,y+1/2,z+1/2'
'x+1/2,-y+1/2,z+1/2'
loop_
_atom_site_label
_atom_site_fract_x
_atom_site_fract_y
_atom_site_fract_z
Te1 0.000 0.000 0.000
W1 0.000 0.000 0.593
W2 0.000 0.500 0.696
Br1 0.000 0.500 0.288



# TeWBr GGA-PBE relaxed
# crystal system: orthorhombic
# raw total energy: -5.3352 eV per atom
# total moment: 1.78 μB/cell
data_TeWBr
_chemical_formula_sum 'Te4 W4 Br4'
_space_group_name_H-M_alt 'F m m 2'
_space_group_IT_number 42
_space_group_name_Hall 'F 2 -2'
_cell_length_a 3.298
_cell_length_b 5.642
_cell_length_c 16.326
_cell_angle_alpha 90.00
_cell_angle_beta 90.00
_cell_angle_gamma 90.00
loop_
_atom_site_label
_atom_site_fract_x
_atom_site_fract_y
_atom_site_fract_z
Te1 0.000 0.000 0.000
W1 0.000 0.000 0.367
Br1 0.000 0.000 0.741



# TeW2Br GGA-PBE relaxed
# crystal system: orthorhombic
# raw total energy: -6.2931 eV per atom
# total moment: 0.72 μB/cell
data_TeW2Br
_chemical_formula_sum 'Te1 W2 Br1'
_space_group_name_H-M_alt 'P m m m'
_space_group_IT_number 47
_cell_length_a 3.021
_cell_length_b 4.585
_cell_length_c 5.722
_cell_angle_alpha 90.00
_cell_angle_beta 90.00
_cell_angle_gamma 90.00
loop_
_space_group_symop_operation_xyz
'x,y,z'
'-x,-y,-z'
'-x,-y,z'
'x,y,-z'
'x,-y,-z'
'-x,y,z'
'-x,y,-z'
'x,-y,z'
loop_
_atom_site_label
_atom_site_fract_x
_atom_site_fract_y
_atom_site_fract_z
Te1 0.000 0.000 0.000
W1 0.000 0.500 0.500
W2 0.500 0.500 0.000
Br1 0.500 0.000 0.500



# TeWBr GGA-PBE relaxed
# crystal system: trigonal
# raw total energy: -5.7354 eV per atom
# total moment: 0.00 μB/cell
data_TeWBr
_chemical_formula_sum 'Te1 W1 Br1'
_space_group_name_H-M_alt 'P 3 m 1'
_space_group_IT_number 156
_cell_length_a 3.4257
_cell_length_b 3.4257
_cell_length_c 7.8457
_cell_angle_alpha 90.00
_cell_angle_beta 90.00
_cell_angle_gamma 120.00
loop_
_space_group_symop_operation_xyz
'x,y,z'
'-y,x-y,z'
'-x+y,-x,z'
'-y,-x,z'
'-x+y,y,z'
'x,x-y,z'
loop_
_atom_site_label
_atom_site_fract_x
_atom_site_fract_y
_atom_site_fract_z
Te1 0.0000 0.0000 0.0000
W1 0.3333 0.6667 0.2359
Br1 0.6667 0.3333 0.4759



# TeWBr9 GGA-PBE relaxed
# crystal system: monoclinic
# raw total energy: -3.2295 eV per atom
# total moment: 2.01 μB/cell
data_TeWBr9
_chemical_formula_sum 'Te2 W2 Br18'
_space_group_name_H-M_alt 'P 1 21/m 1'
_space_group_IT_number 11
_cell_length_a 7.121
_cell_length_b 12.145
_cell_length_c 10.456
_cell_angle_alpha 90.00
_cell_angle_beta 104.62
_cell_angle_gamma 90.00
loop_
_space_group_symop_operation_xyz
'x,y,z'
'-x,-y,-z'
'-x,y+1/2,-z'
'x,-y+1/2,z'
loop_
_atom_site_label
_atom_site_fract_x
_atom_site_fract_y
_atom_site_fract_z
Te1 0.243 0.250 0.468
W1 0.356 0.250 0.851
Br1 0.020 0.250 0.679
Br2 0.050 0.093 0.333
Br3 0.245 0.101 0.971
Br4 0.312 0.750 0.012
Br5 0.452 0.106 0.695
Br6 0.478 0.750 0.645



# TeW2Br GGA-PBE relaxed
# crystal system: tetragonal
# raw total energy: -7.2637 eV per atom
# total moment: 0.00 μB/cell
data_TeW2Br
_chemical_formula_sum 'Te1 W2 Br1'
_space_group_name_H-M_alt 'P 4 m m'
_space_group_IT_number 99
_cell_length_a 3.140
_cell_length_b 3.140
_cell_length_c 9.031
_cell_angle_alpha 90.00
_cell_angle_beta 90.00
_cell_angle_gamma 90.00
loop_
_space_group_symop_operation_xyz
'x,y,z'
'-y,x,z'
'-x,-y,z'
'y,-x,z'
'-x,y,z'
'y,x,z'
'x,-y,z'
'-y,-x,z'
loop_
_atom_site_label
_atom_site_fract_x
_atom_site_fract_y
_atom_site_fract_z
Te1 0.000 0.000 0.000
W1 0.000 0.000 0.383
W2 0.500 0.500 0.194
Br1 0.500 0.500 0.586



# TeW2Br GGA-PBE relaxed
# crystal system: cubic
# raw total energy: -6.5274 eV per atom
# total moment: 0.00 μB/cell
data_TeW2Br
_chemical_formula_sum 'Te4 W8 Br4'
_space_group_name_H-M_alt 'F m -3 m'
_space_group_IT_number 225
_space_group_name_Hall '-F 4 2 3'
_cell_length_a 6.582
_cell_length_b 6.582
_cell_length_c 6.582
_cell_angle_alpha 90.00
_cell_angle_beta 90.00
_cell_angle_gamma 90.00
loop_
_atom_site_label
_atom_site_fract_x
_atom_site_fract_y
_atom_site_fract_z
Te1 0.000 0.000 0.000
W1 0.250 0.250 0.250
Br1 0.000 0.000 0.500



# TeW2Br GGA-PBE relaxed
# crystal system: tetragonal
# raw total energy: -6.4005 eV per atom
# total moment: 0.00 μB/cell
data_TeW2Br
_chemical_formula_sum 'Te2 W4 Br2'
_space_group_name_H-M_alt 'I -4 m 2'
_space_group_IT_number 119
_space_group_name_Hall 'I -4 -2'
_cell_length_a 4.357
_cell_length_b 4.357
_cell_length_c 7.993
_cell_angle_alpha 90.00
_cell_angle_beta 90.00
_cell_angle_gamma 90.00
loop_
_atom_site_label
_atom_site_fract_x
_atom_site_fract_y
_atom_site_fract_z
Te1 0.000 0.000 0.000
W1 0.000 0.000 0.500
W2 0.000 0.500 0.750
Br1 0.000 0.500 0.250



Question: Which value of raw total energy does entry 8 give?
Answer: -6.4005 eV per atom